[1]
VASP calculation (GGA-PBE) on crystalline Cd2AsPd4Pb2 at its relaxed geometry.

extended XYZ file:
```
9
Lattice="6.348 0.060 0.087 -2.994 5.598 -0.087 -2.994 -2.048 5.211" Properties=species:S:1:pos:R:3 pbc="T T T"
Cd -4.158 2.465 3.557
Cd -1.831 1.085 1.566
As 0.000 0.000 0.000
Pd -2.994 3.584 1.308
Pd -1.407 2.643 3.815
Pd -2.994 -0.034 3.815
Pd 1.767 0.967 1.395
Pb 0.180 3.717 1.281
Pb 0.180 -0.107 3.930
```

DOS(E_F): 3.22 states/eV/cell
Magnetic moment: 0.00 μB per formula unit
Formation energy: -0.159 eV per atom
Symmetry: No. 139
VASP energy: -36.102 eV/cell

---

[2]
VASP calculation (GGA-PBE) on crystalline MgZn11Pd at its relaxed geometry.

extended XYZ file:
```
13
Lattice="4.890 0.145 2.037 2.556 6.129 1.065 -0.016 0.073 6.926" Properties=species:S:1:pos:R:3 pbc="T T T"
Mg 0.000 0.000 0.000
Zn 1.932 1.373 2.332
Zn 5.497 4.973 7.696
Zn 4.429 4.901 3.372
Zn 3.000 1.446 6.656
Zn 3.428 4.070 5.948
Zn 4.001 2.277 4.080
Zn 5.698 2.350 6.894
Zn 1.731 3.997 3.134
Zn 1.278 3.064 0.532
Zn 2.437 0.109 4.482
Zn -0.008 0.036 3.463
Pd 3.723 3.137 1.551
```

DOS(E_F): 2.93 states/eV/cell
Magnetic moment: 0.00 μB per formula unit
Formation energy: -0.106 eV per atom
Symmetry: No. 12
VASP energy: -22.175 eV/cell

---

[3]
VASP calculation (GGA-PBE) on crystalline Ti4In5Pd at its relaxed geometry.

extended XYZ file:
```
10
Lattice="3.041 0.000 0.000 0.000 3.041 0.000 0.000 0.000 20.493" Properties=species:S:1:pos:R:3 pbc="T T T"
Ti 0.000 0.000 3.938
Ti 0.000 0.000 8.144
Ti 0.000 0.000 12.349
Ti 0.000 0.000 16.555
In 1.521 1.521 1.880
In 1.521 1.521 6.051
In 1.521 1.521 10.247
In 1.521 1.521 14.443
In 1.521 1.521 18.613
Pd 0.000 0.000 0.000
```

DOS(E_F): 6.74 states/eV/cell
Magnetic moment: 0.00 μB per formula unit
Formation energy: -0.216 eV per atom
Symmetry: No. 123
VASP energy: -52.621 eV/cell

---

[4]
VASP calculation (GGA-PBE) on crystalline Cs2SiBi at its relaxed geometry.

extended XYZ file:
```
8
Lattice="14.022 0.000 0.000 0.000 14.022 0.000 7.011 7.011 2.713" Properties=species:S:1:pos:R:3 pbc="T T T"
Cs 7.860 3.505 0.678
Cs 6.162 10.516 0.678
Cs 10.516 13.172 2.034
Cs 17.527 14.871 2.034
Si 7.011 7.011 0.000
Si 7.011 14.022 1.356
Bi 0.000 0.000 0.000
Bi 14.022 7.011 1.356
```

Polymorph energy (0 for the lowest one): 0.75 eV per formula unit
DOS(E_F): 4.24 states/eV/cell
Magnetic moment: 0.00 μB per formula unit
Formation energy (no corrections): 0.12 eV/atom
Symmetry: No. 122
VASP energy: -21.032 eV/cell

---

[5]
VASP calculation (GGA-PBE) on crystalline TmMg15Cd4 at its relaxed geometry.

extended XYZ file:
```
20
Lattice="4.579 0.000 0.000 0.000 4.579 0.000 0.000 0.000 21.573" Properties=species:S:1:pos:R:3 pbc="T T T"
Tm 0.000 0.000 0.000
Mg 2.289 2.289 0.000
Mg 2.289 2.289 4.501
Mg 2.289 2.289 8.658
Mg 2.289 2.289 12.915
Mg 2.289 2.289 17.072
Mg 2.289 0.000 2.333
Mg 2.289 0.000 6.562
Mg 2.289 0.000 10.786
Mg 2.289 0.000 15.011
Mg 2.289 0.000 19.240
Mg 0.000 2.289 2.333
Mg 0.000 2.289 6.562
Mg 0.000 2.289 10.786
Mg 0.000 2.289 15.011
Mg 0.000 2.289 19.240
Cd 0.000 0.000 4.411
Cd 0.000 0.000 8.681
Cd 0.000 0.000 12.892
Cd 0.000 0.000 17.162
```

DOS(E_F): 6.60 states/eV/cell
Magnetic moment: 0.00 μB per formula unit
Formation energy: -0.064 eV per atom
Symmetry: No. 123
VASP energy: -33.335 eV/cell

---

[6]
VASP calculation (GGA-PBE) on crystalline Mg2AgPd at its relaxed geometry.

extended XYZ file:
```
4
Lattice="4.608 0.000 0.000 2.305 3.992 0.000 2.305 1.331 3.763" Properties=species:S:1:pos:R:3 pbc="T T T"
Mg 4.609 5.322 3.763
Mg 4.609 2.661 1.882
Pd 6.913 3.992 2.823
Ag 2.304 1.331 0.941
```

DOS(E_F): 1.41 states/eV/cell
Magnetic moment: 0.00 μB per formula unit
Formation energy: -0.488 eV per atom
Symmetry: No. 225
VASP energy: -13.186 eV/cell

---

[7]
VASP calculation (GGA-PBE) on crystalline BeFeAu at its relaxed geometry.

extended XYZ file:
```
3
Lattice="3.857 0.000 0.000 1.929 3.340 0.000 1.929 1.113 3.149" Properties=species:S:1:pos:R:3 pbc="T T T"
Be 5.786 3.340 2.362
Au 3.857 2.227 1.575
Fe 0.000 0.000 0.000
```

Polymorph energy (0 for the lowest one): 0.55 eV per formula unit
DOS(E_F): 5.02 states/eV/cell
Magnetic moment: 2.05 μB per formula unit
Formation energy: 0.214 eV per atom
Symmetry: No. 216
VASP energy: -14.825 eV/cell

---

[8]
VASP calculation (GGA-PBE) on crystalline Cs2HCl3 at its relaxed geometry.

extended XYZ file:
```
12
Lattice="-4.670 -1.101 -1.600 2.402 -9.341 -0.581 1.357 -7.728 9.350" Properties=species:S:1:pos:R:3 pbc="T T T"
Cs -0.094 -7.878 5.698
Cs 1.105 -12.548 5.407
Cs -2.016 -5.621 1.762
Cs -0.817 -10.292 1.471
H -3.071 -3.201 -1.403
H 0.803 -7.241 -0.778
Cl -0.391 -7.522 -1.187
Cl -1.877 -2.919 -0.994
Cl -0.627 -15.437 4.493
Cl 0.936 -7.399 2.392
Cl -1.847 -10.771 4.777
Cl -0.284 -2.733 2.676
```

DOS(E_F): 0.00 states/eV/cell
Magnetic moment: 0.19 μB per formula unit
Symmetry: No. 15
VASP energy: -38.589 eV/cell